Entry 1:
Computed, not measured: AcSi2NiPd after structural relaxation at the PBE level of DFT.

- Total DFT energy (no corrections): -5.93 eV/atom
- Formation energy without anion corrections: -3.70 eV per formula unit
- D(E_F): 3.6 states/eV/f.u.

CIF file:
```
data_AcSi2NiPd
_cell_length_a 4.320
_cell_length_b 4.320
_cell_length_c 5.834
_cell_angle_alpha 111.73
_cell_angle_beta 111.73
_cell_angle_gamma 90.00
_space_group_name_H-M_alt 'P 1'
_space_group_IT_number 1
_space_group_name_Hall 'P 1'
loop_
_atom_site_label
_atom_site_type_symbol
_atom_site_fract_x
_atom_site_fract_y
_atom_site_fract_z
Pd1 Pd 0.750 0.250 0.500
Si1 Si 0.629 0.629 0.258
Ni1 Ni 0.250 0.750 0.500
Ac1 Ac 0.000 0.000 0.000
Si2 Si 0.371 0.371 0.742
```


Entry 2:
Computed, not measured: Ac2Ni4Sn3Pd after structural relaxation at the PBE level of DFT.

- Total DFT energy (no corrections): -5.34 eV/atom
- Formation energy from the elements: -466.7 kJ/mol of formula units
- D(E_F): 6.5 states/eV/f.u.

CIF file:
```
data_Ac2Ni4Sn3Pd
_cell_length_a 4.473
_cell_length_b 4.473
_cell_length_c 10.487
_cell_angle_alpha 90.00
_cell_angle_beta 90.00
_cell_angle_gamma 90.00
_space_group_name_H-M_alt 'P 1'
_space_group_IT_number 1
_space_group_name_Hall 'P 1'
loop_
_atom_site_label
_atom_site_type_symbol
_atom_site_fract_x
_atom_site_fract_y
_atom_site_fract_z
Ac1 Ac 0.500 0.000 0.253
Sn1 Sn 0.000 0.500 0.120
Pd1 Pd 0.500 0.500 0.500
Ni1 Ni 0.500 0.500 0.000
Ni2 Ni 0.500 0.000 0.633
Sn2 Sn 0.000 0.000 0.500
Sn3 Sn 0.500 0.000 0.880
Ni3 Ni 0.000 0.500 0.367
Ni4 Ni 0.000 0.000 0.000
Ac2 Ac 0.000 0.500 0.747
```


We obtain mass density values of 8.02 9.11 g/cm3 for the records listed above, in that order.
We obtain total magnetic moment values of 0.000 0.000 μB/atom for the records listed above, in that order.